(1)
Material: NaOs2PdO8
Method: DFT, GGA-PBE
State: relaxed

Output
DOS at the Fermi energy	6.0	states/eV/cell
space-group type	No. 119

Cell: 6.351 6.351 6.351 Å, 114.10 114.10 100.57°
Atoms (fractional coordinates):
Na 0.000 0.000 0.000
Os 0.250 0.750 0.500
Os 0.500 0.500 0.000
Pd 0.750 0.250 0.500
O 0.124 0.418 0.294
O 0.124 0.829 0.706
O 0.164 0.374 0.790
O 0.171 0.876 0.294
O 0.582 0.876 0.706
O 0.584 0.374 0.210
O 0.626 0.416 0.790
O 0.626 0.836 0.210

=====

(2)
Material: Na2OsPd2O6
Method: DFT, GGA-PBE
State: relaxed

Output
DOS at the Fermi energy	4.1	states/eV/cell
space-group type	No. 12

Cell: 5.462 5.462 5.930 Å, 104.09 104.09 111.70°
Atoms (fractional coordinates):
Na 0.184 0.816 0.000
Na 0.816 0.184 0.000
Os 0.000 0.000 0.500
Pd 0.335 0.665 0.500
Pd 0.665 0.335 0.500
O 0.030 0.351 0.712
O 0.231 0.231 0.329
O 0.351 0.030 0.712
O 0.649 0.970 0.288
O 0.769 0.769 0.671
O 0.970 0.649 0.288

=====

(3)
Material: NaOsPd2O
Method: DFT, GGA-PBE
State: relaxed

Output
DOS at the Fermi energy	4.6	states/eV/cell
space-group type	No. 123

Cell: 5.110 5.110 3.692 Å, 90.00 90.00 90.00°
Atoms (fractional coordinates):
Na 0.000 0.000 0.000
Os 0.500 0.500 0.500
Pd 0.000 0.500 0.500
Pd 0.500 0.000 0.500
O 0.500 0.500 0.000

=====

(4)
Material: NaPm2OsO6
Method: DFT, GGA-PBE
State: relaxed

Output
space-group type	No. 14

Cell: 5.539 5.952 9.668 Å, 90.00 123.77 90.00°
Atoms (fractional coordinates):
Na 0.000 0.000 0.000
Na 0.000 0.500 0.500
Pm 0.222 0.071 0.745
Pm 0.222 0.429 0.245
Pm 0.778 0.571 0.755
Pm 0.778 0.929 0.255
Os 0.500 0.000 0.500
Os 0.500 0.500 0.000
O 0.152 0.174 0.446
O 0.152 0.326 0.946
O 0.261 0.719 0.424
O 0.261 0.781 0.924
O 0.400 0.058 0.271
O 0.400 0.442 0.771
O 0.600 0.558 0.229
O 0.600 0.942 0.729
O 0.739 0.219 0.076
O 0.739 0.281 0.576
O 0.848 0.674 0.054
O 0.848 0.826 0.554

=====

no.,formation energy without anion corrections (eV per formula unit)
1,-10.30
2,-9.48
3,0.80
4,-23.47